DFT (GGA-PBE) results for a relaxed structure of La6Pt2SeI3.

abc: 7.6268 7.6268 8.2811
angles: 98.85 98.85 119.85
Last column: nearest neighbours and their distance in Å.
Atoms (fractional coordinates):
La: 0.4176 0.0668 0.1969  2 Pt 2.92, 1 Se 3.10
I: 0.5000 0.5000 0.5000  6 La 3.40-3.54
I: 0.1600 0.8400 0.5000  6 La 3.45-3.55
La: 0.5824 0.9332 0.8031  2 Pt 2.92, 1 Se 3.10
La: 0.9332 0.5824 0.8031  2 Pt 2.92, 1 Se 3.10
Pt: 0.3327 0.6673 0.0000  6 La 2.92
La: 0.7140 0.7140 0.1951  2 Pt 2.92, 1 Se 3.09
Se: 0.0000 0.0000 0.0000  6 La 3.09-3.10
La: 0.0668 0.4176 0.1969  2 Pt 2.92, 1 Se 3.10
La: 0.2860 0.2860 0.8049  2 Pt 2.92, 1 Se 3.09
I: 0.8400 0.1600 0.5000  6 La 3.45-3.55
Pt: 0.6673 0.3327 0.0000  6 La 2.92

Values from the calculation:
As for the energy: -5.448 eV per atom. The calculated volume comes out at 33.13 Å³ per atom. As for the density of states at the Fermi level: 10.73 states/eV/cell. As for the formation energy (no corrections): -1299 meV/atom.